# Li5Mg6Pd PBE optimized geometry
data_Li5Mg6Pd
_chemical_formula_sum 'Li5 Mg6 Pd1'
_symmetry_space_group_name_H-M 'P 1'
_symmetry_Int_Tables_number 1
_cell_length_a 4.671
_cell_length_b 6.969
_cell_length_c 7.411
_cell_angle_alpha 90.00
_cell_angle_beta 71.63
_cell_angle_gamma 90.00
loop_
_symmetry_equiv_pos_as_xyz
'x,y,z'
loop_
_atom_site_label
_atom_site_fract_x
_atom_site_fract_y
_atom_site_fract_z
_atom_site_occupancy
Mg1 0.841 0.761 0.319 1
Mg2 0.841 0.239 0.319 1
Mg3 0.500 0.230 0.000 1
Mg4 0.500 0.770 0.000 1
Mg5 0.159 0.761 0.681 1
Mg6 0.159 0.239 0.681 1
Pd1 0.000 0.000 0.000 1
Li1 0.673 0.500 0.655 1
Li2 0.333 0.000 0.335 1
Li3 0.000 0.500 0.000 1
Li4 0.667 0.000 0.665 1
Li5 0.327 0.500 0.345 1
# Space group   No. 65
# Density of states at the Fermi level   4.73 states/eV per cell
# Final energy   -26.58 eV/f.u.
# E_form   -0.188 eV per atom
# Total moment   0.0 Bohr magnetons per cell

# Li7MgPd4 PBE optimized geometry
data_Li7MgPd4
_chemical_formula_sum 'Li7 Mg1 Pd4'
_symmetry_space_group_name_H-M 'P 1'
_symmetry_Int_Tables_number 1
_cell_length_a 4.574
_cell_length_b 7.050
_cell_length_c 6.865
_cell_angle_alpha 65.93
_cell_angle_beta 70.54
_cell_angle_gamma 71.07
loop_
_symmetry_equiv_pos_as_xyz
'x,y,z'
loop_
_atom_site_label
_atom_site_fract_x
_atom_site_fract_y
_atom_site_fract_z
_atom_site_occupancy
Li1 0.798 0.881 0.523 1
Li2 0.202 0.119 0.477 1
Li3 0.079 0.566 0.276 1
Li4 0.921 0.434 0.724 1
Li5 0.272 0.691 0.766 1
Li6 0.500 0.000 0.000 1
Li7 0.728 0.309 0.234 1
Mg1 0.000 0.000 0.000 1
Pd1 0.546 0.280 0.628 1
Pd2 0.454 0.720 0.372 1
Pd3 0.686 0.665 0.963 1
Pd4 0.314 0.335 0.037 1
# Space group   No. 12
# Density of states at the Fermi level   3.28 states/eV per cell
# Final energy   -38.32 eV/f.u.
# E_form   -0.213 eV per atom
# Total moment   0.0 Bohr magnetons per cell

# Li5MgPd4 PBE optimized geometry
data_Li5MgPd4
_chemical_formula_sum 'Li10 Mg2 Pd8'
_symmetry_space_group_name_H-M 'P 1'
_symmetry_Int_Tables_number 1
_cell_length_a 4.435
_cell_length_b 8.002
_cell_length_c 9.037
_cell_angle_alpha 90.00
_cell_angle_beta 90.00
_cell_angle_gamma 90.00
loop_
_symmetry_equiv_pos_as_xyz
'x,y,z'
loop_
_atom_site_label
_atom_site_fract_x
_atom_site_fract_y
_atom_site_fract_z
_atom_site_occupancy
Li1 0.214 0.822 0.814 1
Li2 0.214 0.178 0.814 1
Li3 0.040 0.500 0.000 1
Li4 0.214 0.822 0.186 1
Li5 0.214 0.178 0.186 1
Li6 0.786 0.678 0.314 1
Li7 0.786 0.322 0.314 1
Li8 0.960 0.000 0.500 1
Li9 0.786 0.322 0.686 1
Li10 0.786 0.678 0.686 1
Mg1 0.731 0.000 0.000 1
Mg2 0.269 0.500 0.500 1
Pd1 0.659 0.000 0.726 1
Pd2 0.593 0.686 0.000 1
Pd3 0.593 0.314 0.000 1
Pd4 0.659 0.000 0.274 1
Pd5 0.341 0.500 0.226 1
Pd6 0.407 0.814 0.500 1
Pd7 0.407 0.186 0.500 1
Pd8 0.341 0.500 0.774 1
# Space group   No. 59
# Density of states at the Fermi level   6.98 states/eV per cell
# Excess energy over the best structure of this formula in the dataset   124 meV/atom
# Final energy   -35.08 eV/f.u.
# E_form   -0.314 eV per atom
# Total moment   0.0 Bohr magnetons per cell

# Li6Mg12Pd PBE optimized geometry
data_Li6Mg12Pd
_chemical_formula_sum 'Li6 Mg12 Pd1'
_symmetry_space_group_name_H-M 'P 1'
_symmetry_Int_Tables_number 1
_cell_length_a 7.953
_cell_length_b 7.946
_cell_length_c 7.946
_cell_angle_alpha 70.55
_cell_angle_beta 70.51
_cell_angle_gamma 109.49
loop_
_symmetry_equiv_pos_as_xyz
'x,y,z'
loop_
_atom_site_label
_atom_site_fract_x
_atom_site_fract_y
_atom_site_fract_z
_atom_site_occupancy
Li1 0.356 0.502 0.142 1
Li2 0.146 0.645 0.498 1
Li3 0.501 0.858 0.645 1
Li4 0.644 0.498 0.858 1
Li5 0.854 0.355 0.502 1
Li6 0.499 0.142 0.355 1
Mg1 0.555 0.823 0.268 1
Mg2 0.732 0.908 0.823 1
Mg3 0.824 0.268 0.908 1
Mg4 0.445 0.177 0.732 1
Mg5 0.268 0.092 0.177 1
Mg6 0.176 0.732 0.092 1
Mg7 0.272 0.449 0.815 1
Mg8 0.913 0.185 0.264 1
Mg9 0.177 0.264 0.551 1
Mg10 0.728 0.551 0.185 1
Mg11 0.087 0.815 0.736 1
Mg12 0.823 0.736 0.449 1
Pd1 0.000 0.000 0.000 1
# Space group   No. 148
# Density of states at the Fermi level   4.78 states/eV per cell
# Final energy   -37.05 eV/f.u.
# E_form   -0.065 eV per atom
# Total moment   0.0 Bohr magnetons per cell